Record 1
DFT (PBE-GGA) results for a relaxed PrHo2Co crystal.

Cell and atoms, written as POSCAR:
```
PrHo2Co
1.0
-0.198 -2.703 2.455
2.303 -2.571 -5.359
8.839 1.952 2.862
Pr Ho Co
2 4 2
direct
0.918 0.836 0.250
0.082 0.164 0.750
0.643 0.286 0.427
0.357 0.714 0.573
0.357 0.714 0.927
0.643 0.286 0.073
0.243 0.487 0.250
0.757 0.513 0.750
```

Summary:
Symmetry ... P2_1/m
Energy relative to the elements ... -0.11 eV/atom
Density ... 8.29 g/cm³
Excess energy over the best structure of this formula in the dataset ... 21 meV per atom
Calculated volume ... 26.51 Å³/atom
Magnetic moment ... 0.00 μB per formula unit

***

Record 2
DFT (PBE-GGA) results for a relaxed MnReBr2 crystal.

Cell and atoms, written as POSCAR:
```
MnReBr2
1.0
5.486 0.000 0.000
0.000 5.486 0.000
2.743 2.743 5.464
Br Re Mn
4 2 2
direct
0.145 0.625 0.250
0.375 0.395 0.750
0.605 0.125 0.250
0.875 0.855 0.750
0.000 0.000 0.000
0.750 0.250 0.500
0.500 0.500 0.000
0.250 0.750 0.500
```

Summary:
Symmetry ... I-42d
Density ... 8.10 g/cm³
Excess energy over the best structure of this formula in the dataset ... 1194 meV per atom
Calculated volume ... 20.56 Å³/atom
Magnetic moment ... 0.00 μB per formula unit
Formation energy without anion corrections ... 1403 meV/atom